Mn2OsC (PBE, relaxed); DOS(E_F) = 0.97 states/eV per atom; crystal system = trigonal; SG = R-3m, No. 166; energy of formation from the pure elements = 0.072 eV per atom
1.0
2.768 0.000 0.000
1.384 2.398 0.000
1.384 0.799 6.566
C Mn Os
1 2 1
Direct
0.000 0.000 0.000 C
0.724 0.724 0.828 Mn
0.276 0.276 0.172 Mn
0.500 0.500 0.500 Os